5
Lattice="4.1946 0.0000 0.0000 0.0000 4.1946 0.0000 0.0000 0.0000 4.0233" Properties=species:S:1:pos:R:3 comment="HfNiN2O PBE with a Hubbard U optimized geometry" total_energy_ev_per_atom=-6.70 crystal_system=tetragonal magmom_total_mub_per_atom=0.661 spacegroup="P4/mmm, No. 123" pbc="T T T"
Hf 0.0000 0.0000 0.0000
Ni 2.0973 2.0973 2.0117
N 0.0000 2.0973 0.0000
N 2.0973 0.0000 0.0000
O 0.0000 0.0000 2.0117